<A>
{
  "formula": "AcNdSe",
  "functional": "GGA-PBE",
  "state": "optimized geometry",
  "n_ef_per_ev_atom": 1.140,
  "volume_a3_per_cell": 106.0,
  "lattice_angstrom": [[7.044, 0.000, 0.000], [0.000, 4.168, 0.000], [0.000, -2.084, 3.610]],
  "species": ["Nd", "Ac", "Se"],
  "frac_coords": [[0.266, 0.333, 0.667], [0.720, 0.667, 0.333], [0.013, 0.000, 0.000]]
}

<B>
{
  "formula": "AcNdSe",
  "functional": "GGA-PBE",
  "state": "optimized geometry",
  "n_ef_per_ev_atom": 1.518,
  "volume_a3_per_cell": 98.2,
  "lattice_angstrom": [[-0.233, -2.293, 3.045], [-0.861, -2.940, -2.280], [7.093, 1.161, -0.978]],
  "species": ["Se", "Ac", "Nd"],
  "frac_coords": [[0.325, 0.325, 0.650], [0.974, 0.974, 0.948], [0.701, 0.701, 0.402]]
}

The energy of each structure relative to the most stable one, in eV/atom, is as follows: <A> 0.000; <B> 0.141.

<A>
{
  "formula": "AcNd3Se6",
  "functional": "GGA-PBE",
  "state": "optimized geometry",
  "volume_a3_per_cell": 340.2,
  "lattice_angstrom": [[7.383, 0.166, 0.117], [3.687, 7.088, 0.096], [3.687, 2.459, 6.648]],
  "species": ["Nd", "Se", "Ac", "Nd", "Nd", "Se", "Se", "Se", "Se", "Se"],
  "frac_coords": [[0.316, 0.249, 0.249], [0.340, 0.151, 0.655], [0.500, 0.500, 0.500], [0.684, 0.751, 0.751], [0.000, 0.000, 0.000], [0.062, 0.759, 0.759], [0.660, 0.345, 0.849], [0.660, 0.849, 0.345], [0.340, 0.655, 0.151], [0.938, 0.241, 0.241]]
}

<B>
{
  "formula": "AcNd3Se6",
  "functional": "GGA-PBE",
  "state": "optimized geometry",
  "volume_a3_per_cell": 606.3,
  "lattice_angstrom": [[4.333, 0.000, 0.000], [0.000, 11.338, -3.890], [0.000, 0.038, 12.327]],
  "species": ["Se", "Nd", "Nd", "Ac", "Nd", "Nd", "Se", "Se", "Se", "Se", "Se", "Se", "Se", "Nd", "Ac", "Se", "Se", "Se", "Se", "Nd"],
  "frac_coords": [[0.250, 0.606, 0.943], [0.750, 0.160, 0.087], [0.250, 0.320, 0.499], [0.750, 0.050, 0.694], [0.250, 0.557, 0.167], [0.250, 0.840, 0.913], [0.750, 0.735, 0.272], [0.250, 0.196, 0.250], [0.750, 0.915, 0.094], [0.750, 0.481, 0.612], [0.750, 0.804, 0.750], [0.750, 0.394, 0.057], [0.250, 0.085, 0.906], [0.750, 0.680, 0.501], [0.250, 0.950, 0.306], [0.250, 0.265, 0.728], [0.250, 0.880, 0.536], [0.250, 0.519, 0.388], [0.750, 0.120, 0.464], [0.750, 0.443, 0.833]]
}

The energy of each structure relative to the most stable one, in eV/atom, is as follows: <A> 0.188; <B> 0.000.

<A>
{
  "formula": "AcNdTeSe",
  "functional": "GGA-PBE",
  "state": "optimized geometry",
  "n_ef_per_ev_atom": 0.364,
  "volume_a3_per_cell": 127.7,
  "lattice_angstrom": [[-3.314, 2.780, 1.109], [-3.746, 0.089, -2.429], [-5.286, -4.269, 3.893]],
  "species": ["Te", "Nd", "Ac", "Se"],
  "frac_coords": [[0.755, 0.755, 0.736], [0.510, 0.510, 0.470], [0.991, 0.991, 0.028], [0.245, 0.245, 0.265]]
}

<B>
{
  "formula": "AcNdTeSe",
  "functional": "GGA-PBE",
  "state": "optimized geometry",
  "n_ef_per_ev_atom": 0.741,
  "volume_a3_per_cell": 116.5,
  "lattice_angstrom": [[-0.483, -0.304, -5.452], [3.200, -3.420, -2.849], [-2.152, -4.478, -2.316]],
  "species": ["Ac", "Nd", "Se", "Te"],
  "frac_coords": [[0.000, 0.000, 0.000], [0.500, 0.500, 0.500], [0.250, 0.250, 0.250], [0.750, 0.750, 0.750]]
}

The energy of each structure relative to the most stable one, in eV/atom, is as follows: <A> 0.000; <B> 0.202.

<A>
{
  "formula": "AcNdSi",
  "functional": "GGA-PBE",
  "state": "optimized geometry",
  "n_ef_per_ev_atom": 1.269,
  "volume_a3_per_cell": 190.0,
  "lattice_angstrom": [[4.303, 0.000, 0.005], [2.154, 6.172, 0.362], [2.148, 0.620, 7.192]],
  "species": ["Nd", "Ac", "Nd", "Si", "Si", "Ac"],
  "frac_coords": [[0.483, 0.966, 0.946], [0.243, 0.903, 0.488], [0.653, 0.376, 0.196], [0.174, 0.606, 0.922], [0.961, 0.736, 0.219], [0.893, 0.438, 0.654]]
}

<B>
{
  "formula": "AcNdSi",
  "functional": "GGA-PBE",
  "state": "optimized geometry",
  "n_ef_per_ev_atom": 0.717,
  "volume_a3_per_cell": 195.8,
  "lattice_angstrom": [[4.120, 0.000, 0.000], [-2.060, 6.983, 0.000], [0.000, 0.000, 6.807]],
  "species": ["Nd", "Si", "Ac", "Ac", "Nd", "Si"],
  "frac_coords": [[0.410, 0.821, 0.750], [0.000, 0.000, 0.500], [0.332, 0.665, 0.250], [0.668, 0.335, 0.750], [0.590, 0.179, 0.250], [0.000, 0.000, 0.000]]
}

<C>
{
  "formula": "AcNdSi",
  "functional": "GGA-PBE",
  "state": "optimized geometry",
  "n_ef_per_ev_atom": 0.660,
  "volume_a3_per_cell": 95.6,
  "lattice_angstrom": [[-3.546, -2.229, -2.010], [1.637, -4.224, 1.798], [-3.148, 2.687, 2.574]],
  "species": ["Ac", "Si", "Nd"],
  "frac_coords": [[0.031, 0.000, 0.000], [0.408, 0.333, 0.667], [0.560, 0.667, 0.333]]
}

The energy of each structure relative to the most stable one, in eV/atom, is as follows: <A> 0.000; <B> 0.142; <C> 0.133.